Entry 1:
Cu4SbSe5, relaxed, DFT PBE; space group = No. 87; size of the total moment = 0.00 μB/f.u.; DFT total energy = -3.851 eV/atom
1.0
5.409 0.000 0.000
2.704 5.903 0.000
2.704 0.000 5.903
Cu Sb Se
4 1 5
Cartesian
5.414 2.422 4.787
8.119 4.787 3.481
2.710 1.117 2.422
5.414 3.481 1.117
0.005 0.000 0.000
8.118 2.506 4.667
5.414 4.667 3.398
5.414 1.237 2.506
2.710 3.398 1.237
2.709 0.000 0.000

=====

Entry 2:
CuSb2Se, relaxed, DFT PBE; space group = No. 44; size of the total moment = 0.00 μB/f.u.; DFT total energy = -3.822 eV/atom
1.0
-2.349 -4.748 -2.395
3.936 -4.205 -0.785
-2.508 3.285 4.088
Cu Sb Se
1 2 1
Cartesian
1.120 -2.750 0.838
0.107 -0.603 -0.214
-2.009 -3.101 0.004
0.654 -3.691 -1.311

=====

Entry 3:
Cu2SbSe, relaxed, DFT PBE; space group = No. 122; size of the total moment = 0.00 μB/f.u.; DFT total energy = -3.885 eV/atom
1.0
-1.931 3.392 -4.604
-0.258 -4.906 -3.507
-5.781 -1.516 -2.648
Sb Cu Se
2 4 2
Cartesian
0.000 0.000 0.000
-4.404 0.560 -5.654
-2.631 1.034 -3.851
-1.901 -2.927 -3.556
-5.164 -1.840 -5.125
-6.245 -2.326 -8.986
-1.095 -0.757 -4.055
-3.567 -3.589 -5.105

=====

Entry 4:
Cu2SbSe, relaxed, DFT PBE; space group = No. 47; size of the total moment = 0.00 μB/f.u.; DFT total energy = -3.681 eV/atom
1.0
3.591 0.000 0.000
0.000 5.490 0.000
0.000 0.000 3.850
Cu Sb Se
2 1 1
Cartesian
0.000 0.000 0.000
1.795 2.745 0.000
1.795 0.000 1.925
0.000 2.745 1.925

=====

Entry 5:
Cu2SbSe, relaxed, DFT PBE; space group = No. 65; size of the total moment = 0.00 μB/f.u.; DFT total energy = -3.685 eV/atom
1.0
-1.764 -1.983 -1.973
-0.480 -0.916 3.141
-5.605 4.525 0.463
Cu Sb Se
2 1 1
Cartesian
-5.475 4.421 0.452
-2.932 2.367 0.242
-2.523 -0.319 0.700
-5.326 1.944 0.931

=====

Entry 6:
Cu2SbSe3, relaxed, DFT PBE; excess energy over the best structure of this formula in the dataset = 4 meV per atom; space group = No. 12; size of the total moment = 0.00 μB/f.u.; DFT total energy = -3.931 eV/atom
1.0
-3.345 -1.905 0.806
-1.276 -0.862 -7.330
7.159 -7.586 2.190
Cu Sb Se
4 2 6
Cartesian
2.338 -5.322 -2.872
0.199 -5.030 -1.462
2.256 -9.487 -3.462
0.282 -0.865 -0.873
2.570 -6.828 -5.471
-0.032 -3.524 1.137
2.435 -4.508 -0.546
-0.289 -1.873 -5.624
3.543 -7.504 -3.027
0.103 -5.844 -3.788
-1.006 -2.848 -1.308
2.826 -8.479 1.290

=====

Entry 7:
CuSb2Se, relaxed, DFT PBE; space group = No. 47; size of the total moment = 0.00 μB/f.u.; DFT total energy = -3.649 eV/atom
1.0
-2.013 -1.267 2.483
4.627 -0.386 3.555
-0.806 4.235 1.508
Cu Sb Se
1 2 1
Cartesian
1.911 1.925 2.531
0.000 0.000 0.000
1.307 -0.826 3.019
-1.409 1.484 1.995

=====

Entry 8:
Cu2SbSe3, relaxed, DFT PBE; excess energy over the best structure of this formula in the dataset = 0 meV per atom; space group = No. 43; size of the total moment = 0.00 μB/f.u.; DFT total energy = -3.934 eV/atom
1.0
6.670 0.040 -1.248
-2.512 6.179 -1.248
0.286 0.428 13.998
Cu Sb Se
8 4 12
Cartesian
-0.045 1.607 4.113
1.322 3.615 -1.248
2.941 6.074 7.389
2.953 1.123 1.675
4.534 3.488 9.827
-0.831 5.364 5.751
5.826 0.604 -1.248
3.673 2.353 5.751
0.870 2.557 8.334
2.413 4.864 3.168
-1.397 4.134 1.233
0.089 6.356 10.269
2.480 2.760 10.911
3.754 4.752 5.506
0.604 0.537 2.009
4.178 5.883 9.493
1.486 1.360 5.996
2.840 3.300 0.591
-0.622 3.174 12.969
0.720 5.096 7.571
4.364 1.192 3.675
0.009 4.033 3.931
1.272 6.008 -1.467
5.009 2.158 7.827

=====

Entry 9:
CuSb2Se, relaxed, DFT PBE; space group = No. 35; size of the total moment = 0.00 μB/f.u.; DFT total energy = -3.717 eV/atom
1.0
-0.934 3.240 1.041
-0.545 -2.464 2.466
7.415 1.219 2.856
Cu Sb Se
1 2 1
Cartesian
4.684 1.279 3.843
7.089 1.165 2.731
1.250 0.715 2.520
4.035 0.663 1.554

=====

Entry 10:
CuSb4Se7, relaxed, DFT PBE; space group = No. 8; size of the total moment = 0.00 μB/f.u.; DFT total energy = -3.956 eV/atom
1.0
-3.875 -0.952 0.730
2.489 -4.820 -4.344
3.194 -4.429 11.179
Cu Sb Se
1 4 7
Cartesian
0.340 -7.286 3.575
0.587 -5.235 7.561
0.830 -3.929 -0.716
-1.372 -5.761 -3.523
1.608 -3.592 3.855
-0.352 -5.174 2.658
2.378 -5.673 5.225
3.418 -7.839 7.923
-1.621 -2.314 -0.350
1.054 -9.133 4.962
-0.748 -6.286 -0.893
-0.200 -3.017 6.277

=====

Entry 11:
CuSb2Se, relaxed, DFT PBE; space group = No. 123; size of the total moment = 0.00 μB/f.u.; DFT total energy = -3.649 eV/atom
1.0
5.092 -0.032 0.000
0.034 5.092 0.000
0.000 0.000 3.338
Cu Sb Se
1 2 1
Cartesian
0.017 2.546 1.669
0.000 0.000 0.000
2.563 2.530 0.000
2.546 -0.016 1.669

=====

Entry 12:
Cu2SbSe, relaxed, DFT PBE; space group = No. 8; size of the total moment = 0.00 μB/f.u.; DFT total energy = -3.924 eV/atom
1.0
4.266 -0.022 0.067
2.726 3.281 0.067
1.914 0.892 5.559
Cu Sb Se
2 1 1
Cartesian
8.827 4.115 5.525
6.800 3.170 4.533
4.760 2.219 3.287
1.879 0.876 0.888